[1]
! SrTaPd2Rh (PBE, optimized geometry); values from VASP
&SYSTEM
  ibrav = 0, nat = 5, ntyp = 4
/
ATOMIC_SPECIES
Sr 87.62 Sr.upf
Ta 180.95 Ta.upf
Pd 106.42 Pd.upf
Rh 102.91 Rh.upf
CELL_PARAMETERS angstrom
4.966 0.000 0.000
0.000 4.966 0.000
0.000 0.000 4.937
ATOMIC_POSITIONS crystal
Sr 0.000 0.000 0.000
Ta 0.500 0.500 0.000
Pd 0.000 0.500 0.500
Pd 0.500 0.000 0.500
Rh 0.000 0.000 0.500
! **Formation energy**: 6.4 eV per formula unit
! **M_tot**: 0.48 μB per atom

=====

[2]
! Nd2SmDy2Er (PBE, optimized geometry); values from VASP
&SYSTEM
  ibrav = 0, nat = 12, ntyp = 4
/
ATOMIC_SPECIES
Nd 144.24 Nd.upf
Sm 150.36 Sm.upf
Dy 162.50 Dy.upf
Er 167.26 Er.upf
CELL_PARAMETERS angstrom
6.621 0.000 0.000
0.000 18.056 0.000
0.000 0.000 3.396
ATOMIC_POSITIONS crystal
Nd 0.230 0.186 0.000
Nd 0.270 0.686 0.500
Nd 0.730 0.314 0.500
Nd 0.770 0.814 0.000
Sm 0.000 0.500 0.000
Sm 0.500 0.000 0.500
Dy 0.228 0.354 0.500
Dy 0.272 0.854 0.000
Dy 0.728 0.146 0.000
Dy 0.772 0.646 0.500
Er 0.000 0.000 0.000
Er 0.500 0.500 0.500
! **Formation energy**: 1.6 eV per formula unit
! **M_tot**: 0.00 μB per atom

=====

[3]
! PrNbAu (PBE, optimized geometry); values from VASP
&SYSTEM
  ibrav = 0, nat = 6, ntyp = 3
/
ATOMIC_SPECIES
Pr 140.91 Pr.upf
Nb 92.91 Nb.upf
Au 196.97 Au.upf
CELL_PARAMETERS angstrom
2.600 -2.604 0.000
2.600 2.604 0.000
0.000 0.000 10.548
ATOMIC_POSITIONS crystal
Pr 0.000 0.000 0.183
Pr 0.000 0.000 0.817
Nb 0.500 0.500 0.384
Nb 0.500 0.500 0.616
Au 0.000 0.000 0.500
Au 0.500 0.500 0.000
! **Formation energy**: -0.3 eV per formula unit
! **M_tot**: 0.00 μB per atom